(1)
A geometry-optimized ZrAg3 structure, computed with PBE.

Results
For the raw total energy, the calculation gives -4.27 eV per atom. The value obtained for the formation energy is 0.00 eV per atom.

Cell: 2.942 2.942 8.792 Å, 90.00 90.00 85.69°
Fractional positions:
Zr: 0.500 0.500 0.250
Ag: 0.000 0.000 0.990
Ag: 0.000 0.000 0.510
Ag: 0.500 0.500 0.750

=====

(2)
A geometry-optimized U3Os structure, computed with PBE.

Results
For the raw total energy, the calculation gives -11.11 eV per atom. The value obtained for the formation energy is 0.17 eV per atom.

Cell: 3.811 3.811 6.065 Å, 108.31 108.31 90.00°
Fractional positions:
Os: 0.000 0.000 0.000
U: 0.750 0.250 0.500
U: 0.250 0.750 0.500
U: 0.500 0.500 0.000

=====

(3)
A geometry-optimized Be2PAu2 structure, computed with PBE.

Results
For the raw total energy, the calculation gives -3.67 eV per atom. The value obtained for the formation energy is 0.21 eV per atom.

Cell: 7.069 7.069 2.832 Å, 90.00 90.00 90.00°
Fractional positions:
P: 0.000 0.000 0.000
P: 0.500 0.500 0.000
Au: 0.146 0.646 0.500
Au: 0.646 0.854 0.500
Au: 0.854 0.354 0.500
Au: 0.354 0.146 0.500
Be: 0.353 0.853 0.000
Be: 0.853 0.647 0.000
Be: 0.647 0.147 0.000
Be: 0.147 0.353 0.000

=====

(4)
A geometry-optimized CrTc3Sb structure, computed with PBE.

Results
For the raw total energy, the calculation gives -7.88 eV per atom.

Cell: 4.477 4.477 4.477 Å, 90.00 90.00 90.00°
Fractional positions:
Sb: 0.500 0.500 0.500
Tc: 0.000 0.500 0.000
Tc: 0.000 0.000 0.500
Tc: 0.500 0.000 0.000
Cr: 0.000 0.000 0.000

=====

(5)
A geometry-optimized Tl3In4Hg2Pb2 structure, computed with PBE.

Results
For the raw total energy, the calculation gives -2.34 eV per atom. The value obtained for the formation energy is 0.03 eV per atom.

Cell: 5.494 5.494 12.642 Å, 90.00 90.00 120.00°
Fractional positions:
Tl: 0.000 0.000 0.724
Tl: 0.000 0.000 0.000
Tl: 0.000 0.000 0.276
In: 0.667 0.333 0.141
In: 0.333 0.667 0.859
In: 0.667 0.333 0.655
In: 0.333 0.667 0.345
Hg: 0.667 0.333 0.894
Hg: 0.333 0.667 0.106
Pb: 0.667 0.333 0.403
Pb: 0.333 0.667 0.597

=====

(6)
A geometry-optimized Pm2ErAg3 structure, computed with PBE.

Results
For the raw total energy, the calculation gives -4.06 eV per atom. The value obtained for the formation energy is -0.29 eV per atom.

Cell: 3.661 3.661 11.216 Å, 90.00 90.00 90.00°
Fractional positions:
Pm: 0.500 0.500 0.829
Pm: 0.500 0.500 0.171
Er: 0.500 0.500 0.500
Ag: 0.000 0.000 0.000
Ag: 0.000 0.000 0.653
Ag: 0.000 0.000 0.347